1.
ScCu23Pd6: relaxed, PBE-GGA.

Cell and atoms, written as POSCAR:
```
ScCu23Pd6
1.0
7.1468 0.0000 4.1262
2.3823 6.7381 4.1262
0.0000 0.0000 8.2524
Sc Cu Pd
1 23 6
direct
0.5000 0.5000 0.5000 Sc
0.6494 0.6494 0.6494 Cu
0.1272 0.6183 0.1272 Cu
0.0000 0.5000 0.5000 Cu
0.9483 0.3506 0.3506 Cu
0.5000 0.5000 0.0000 Cu
0.5000 0.0000 0.5000 Cu
0.3506 0.3506 0.9483 Cu
0.1272 0.1272 0.1272 Cu
0.6183 0.1272 0.1272 Cu
0.1272 0.1272 0.6183 Cu
0.6494 0.6494 0.0517 Cu
0.0517 0.6494 0.6494 Cu
0.8728 0.8728 0.3817 Cu
0.3506 0.9483 0.3506 Cu
0.5000 0.0000 0.0000 Cu
0.8728 0.8728 0.8728 Cu
0.0000 0.0000 0.0000 Cu
0.6494 0.0517 0.6494 Cu
0.0000 0.0000 0.5000 Cu
0.3817 0.8728 0.8728 Cu
0.3506 0.3506 0.3506 Cu
0.0000 0.5000 0.0000 Cu
0.8728 0.3817 0.8728 Cu
0.7385 0.2615 0.7385 Pd
0.2615 0.7385 0.2615 Pd
0.7385 0.7385 0.2615 Pd
0.7385 0.2615 0.2615 Pd
0.2615 0.2615 0.7385 Pd
0.2615 0.7385 0.7385 Pd
```

Space group: Fm-3m
Formation enthalpy at 0 K, eV per atom: -0.071
Spin magnetization, μB/atom: 0.000

=====

2.
Sc2Cu2Pd: relaxed, PBE-GGA.

Cell and atoms, written as POSCAR:
```
Sc2Cu2Pd
1.0
4.7215 -0.0011 -0.0024
-0.0003 4.4520 -1.5477
-2.3645 -2.0212 8.5444
Sc Cu Pd
4 4 2
direct
0.1419 0.5321 0.7820 Sc
0.6394 0.0321 0.7821 Sc
0.8581 0.4679 0.2180 Sc
0.3606 0.9679 0.2179 Sc
0.9626 0.1672 0.4173 Cu
0.0374 0.8328 0.5827 Cu
0.5440 0.3327 0.5828 Cu
0.4560 0.6673 0.4172 Cu
0.7519 0.7499 0.0000 Pd
0.2481 0.2501 0.0000 Pd
```

E above lowest polymorph, meV per atom: 0
Space group: P2_1/m
Formation enthalpy at 0 K, eV per atom: -0.504
Spin magnetization, μB/atom: 0.000

=====

3.
Sc4Cu2Pd: relaxed, PBE-GGA.

Cell and atoms, written as POSCAR:
```
Sc4Cu2Pd
1.0
4.3956 0.0000 1.3733
1.9833 3.9228 1.3733
-0.0375 -0.0230 7.8413
Cu Sc Pd
2 4 1
direct
0.2539 0.2539 0.2382 Cu
0.7461 0.7461 0.7618 Cu
0.1287 0.1287 0.6139 Sc
0.3804 0.3804 0.8589 Sc
0.6196 0.6196 0.1411 Sc
0.8713 0.8713 0.3861 Sc
0.0000 0.0000 0.0000 Pd
```

Space group: R-3m
Formation enthalpy at 0 K, eV per atom: -0.324
Spin magnetization, μB/atom: 0.000